(1)
Material: Na2PdPtPb
Method: DFT, PBE
State: optimized geometry Values from VASP.

```
&SYSTEM
  ibrav = 0, nat = 5, ntyp = 4
/
ATOMIC_SPECIES
Na 22.99 Na.upf
Pd 106.42 Pd.upf
Pt 195.08 Pt.upf
Pb 207.20 Pb.upf
CELL_PARAMETERS angstrom
5.230 0.000 0.000
0.000 5.230 0.000
0.000 0.000 5.183
ATOMIC_POSITIONS angstrom
Na 0.000 2.615 0.000
Na 2.615 0.000 0.000
Pd 0.000 0.000 2.592
Pt 2.615 2.615 0.000
Pb 2.615 2.615 2.592
```

***

(2)
Material: NaPuPdPb
Method: DFT, PBE
State: optimized geometry Values from VASP.

```
&SYSTEM
  ibrav = 0, nat = 4, ntyp = 4
/
ATOMIC_SPECIES
Na 22.99 Na.upf
Pu 244.00 Pu.upf
Pd 106.42 Pd.upf
Pb 207.20 Pb.upf
CELL_PARAMETERS angstrom
0.000 3.562 3.562
3.562 0.000 3.562
3.562 3.562 0.000
ATOMIC_POSITIONS angstrom
Na 0.000 0.000 0.000
Pu 5.343 5.343 5.343
Pd 3.562 3.562 3.562
Pb 1.781 1.781 1.781
```

***

(3)
Material: Rb2NaPdPb
Method: DFT, PBE
State: optimized geometry Values from VASP.

```
&SYSTEM
  ibrav = 0, nat = 5, ntyp = 4
/
ATOMIC_SPECIES
Rb 85.47 Rb.upf
Na 22.99 Na.upf
Pd 106.42 Pd.upf
Pb 207.20 Pb.upf
CELL_PARAMETERS angstrom
6.506 0.000 0.000
0.000 6.506 0.000
0.000 0.000 5.337
ATOMIC_POSITIONS angstrom
Rb 0.000 3.253 0.000
Rb 3.253 0.000 0.000
Na 0.000 0.000 2.668
Pd 3.253 3.253 0.000
Pb 3.253 3.253 2.668
```

***

(4)
Material: RbNa2PdPb
Method: DFT, PBE
State: optimized geometry Values from VASP.

```
&SYSTEM
  ibrav = 0, nat = 5, ntyp = 4
/
ATOMIC_SPECIES
Rb 85.47 Rb.upf
Na 22.99 Na.upf
Pd 106.42 Pd.upf
Pb 207.20 Pb.upf
CELL_PARAMETERS angstrom
5.982 0.000 0.000
0.000 5.982 0.000
0.000 0.000 5.276
ATOMIC_POSITIONS angstrom
Rb 0.000 0.000 0.000
Na 0.000 2.991 2.638
Na 2.991 0.000 2.638
Pd 2.991 2.991 0.000
Pb 2.991 2.991 2.638
```

Values from the calculation:
Relative energy among the computed polymorphs, meV/atom: 156

***

(5)
Material: RbNa2PdPb
Method: DFT, PBE
State: optimized geometry Values from VASP.

```
&SYSTEM
  ibrav = 0, nat = 5, ntyp = 4
/
ATOMIC_SPECIES
Rb 85.47 Rb.upf
Na 22.99 Na.upf
Pd 106.42 Pd.upf
Pb 207.20 Pb.upf
CELL_PARAMETERS angstrom
5.705 0.000 0.000
0.000 5.705 0.000
0.000 0.000 5.289
ATOMIC_POSITIONS angstrom
Rb 0.000 0.000 0.000
Na 0.000 2.853 2.644
Na 2.853 0.000 2.644
Pd 2.853 2.853 2.644
Pb 2.853 2.853 0.000
```

Values from the calculation:
Relative energy among the computed polymorphs, meV/atom: 0

***

(6)
Material: NaPdRhPb
Method: DFT, PBE
State: optimized geometry Values from VASP.

```
&SYSTEM
  ibrav = 0, nat = 4, ntyp = 4
/
ATOMIC_SPECIES
Na 22.99 Na.upf
Pd 106.42 Pd.upf
Rh 102.91 Rh.upf
Pb 207.20 Pb.upf
CELL_PARAMETERS angstrom
0.000 3.299 3.299
3.299 0.000 3.299
3.299 3.299 0.000
ATOMIC_POSITIONS angstrom
Na 0.000 0.000 0.000
Pd 1.650 1.650 1.650
Rh 4.949 4.949 4.949
Pb 3.299 3.299 3.299
```

***

| no. | formation energy from the elements (kJ/mol of atoms) | density of states at the Fermi level (states/eV/atom) |
| --- | --- | --- |
| 1 | 22.7 | 0.43 |
| 2 | -12.3 | 3.18 |
| 3 | 0.7 | 0.75 |
| 4 | 2.5 | 0.58 |
| 5 | -12.5 | 0.53 |
| 6 | -7.9 | 0.58 |